Material: CeThAu3
Method: DFT, PBE
State: optimized geometry

a = 3.653 Å, b = 4.711 Å, c = 14.496 Å
α = 90.00°, β = 97.24°, γ = 90.00°
Each line ends with the local moment (μB).
Fractional coordinates of all 10 atoms:
Ce 0.929 0.750 0.858  0.83
Au 0.524 0.750 0.049  0.00
Ce 0.071 0.250 0.142  0.83
Au 0.322 0.750 0.643  0.00
Au 0.380 0.250 0.760  0.00
Au 0.620 0.750 0.240  0.00
Au 0.678 0.250 0.357  0.00
Th 0.793 0.250 0.587  0.03
Th 0.207 0.750 0.413  0.03
Au 0.476 0.250 0.951  0.00

The calculation puts the formation energy from the elements at -0.651 eV/atom. The value obtained for the size of the total moment is 2.04 μB per cell. As for the crystal system: orthorhombic.